1.
HfVReMo: optimized geometry, GGA-PBE.

The structure belongs to space group F-43m (No. 216); the cell edges are 6.354, 6.354 and 6.354 Å and the angles 90.00°, 90.00° and 90.00°. The distinct sites, in fractional coordinates, are Hf at (0.000, 0.000, 0.000), V at (0.000, 0.000, 0.500), Re at (0.250, 0.250, 0.250) and Mo at (0.250, 0.250, 0.750).

For the formation energy from the elements, the calculation gives -0.1456 eV per atom. Its total energy is -171.735 eV/cell.

2.
DyTmPS: optimized geometry, GGA-PBE.

The structure belongs to space group R3m (No. 160, hexagonal axes); the cell edges are 3.9274, 3.9274 and 19.3202 Å and the angles 90.00°, 90.00° and 120.00°. The distinct sites, in fractional coordinates, are Dy at (0.0000, 0.0000, 0.0000), Tm at (0.0000, 0.0000, 0.5062), P at (0.0000, 0.0000, 0.2516) and S at (0.0000, 0.0000, 0.7547).

The calculation puts the formation energy without anion corrections at -1.855 eV per atom. Its total energy is -78.098 eV/cell.

3.
KAgIF6: optimized geometry, GGA-PBE.

The structure belongs to space group P312 (No. 149); the cell edges are 6.6684, 6.6684 and 3.9601 Å and the angles 90.00°, 90.00° and 120.00°. The distinct sites, in fractional coordinates, are K at (0.0000, 0.0000, 0.0000), Ag at (0.3333, 0.6667, 0.5000), I at (0.6667, 0.3333, 0.5000) and F at (0.3699, 0.0327, 0.6985).

The calculation puts the formation energy without anion corrections at -1.604 eV per atom. Its total energy is -31.162 eV/cell.

4.
Sr3In2Ga2Au4: optimized geometry, GGA-PBE.

The structure belongs to space group P-3m1 (No. 164); the cell edges are 4.6728, 4.6728 and 15.4731 Å and the angles 90.00°, 90.00° and 120.00°. The distinct sites, in fractional coordinates, are Sr at (0.0000, 0.0000, 0.0000), Sr at (0.0000, 0.0000, 0.2672), In at (0.3333, 0.6667, 0.5656), Ga at (0.3333, 0.6667, 0.1373), Au at (0.3333, 0.6667, 0.3805) and Au at (0.3333, 0.6667, 0.8687).

For the formation energy from the elements, the calculation gives -0.5708 eV per atom. Its total energy is -35.965 eV/cell.

5.
Tl2SiAg: optimized geometry, GGA-PBE.

The structure belongs to space group I-42d (No. 122); the cell edges are 4.419, 4.419 and 20.244 Å and the angles 90.00°, 90.00° and 90.00°. The distinct sites, in fractional coordinates, are Tl at (0.249, 0.250, 0.125), Si at (0.000, 0.000, 0.000) and Ag at (0.000, 0.000, 0.500).

Its excess energy over the best structure of this formula in the dataset is 226.1 meV/atom. The calculation puts the formation energy without anion corrections at 0.484 eV per atom. Its total energy is -44.276 eV/cell.

6.
NaNpPd2O6: optimized geometry, GGA-PBE.

The structure belongs to space group R3 (No. 146, hexagonal axes); the cell edges are 5.4308, 5.4308 and 15.4372 Å and the angles 90.00°, 90.00° and 120.00°. The distinct sites, in fractional coordinates, are Na at (0.0000, 0.0000, 0.0000), Np at (0.0000, 0.0000, 0.4859), Pd at (0.0000, 0.0000, 0.2945), Pd at (0.0000, 0.0000, 0.8042), O at (0.0089, 0.6678, 0.5529) and O at (0.0231, 0.3944, 0.0637).

The calculation puts the formation energy without anion corrections at -1.443 eV per atom. Its total energy is -206.464 eV/cell.

7.
LaSm2Al: optimized geometry, GGA-PBE.

The structure belongs to space group R3m (No. 160, hexagonal axes); the cell edges are 5.1782, 5.1782 and 16.7921 Å and the angles 90.00°, 90.00° and 120.00°. The distinct sites, in fractional coordinates, are La at (0.0000, 0.0000, 0.0000), Sm at (0.0000, 0.0000, 0.2148), Sm at (0.0000, 0.0000, 0.4463) and Al at (0.0000, 0.0000, 0.7992).

For the formation energy from the elements, the calculation gives 0.0320 eV per atom. Its excess energy over the best structure of this formula in the dataset is 214.6 meV/atom. Its total energy is -53.941 eV/cell.

8.
AlBPd4: optimized geometry, GGA-PBE.

The structure belongs to space group I4_1md (No. 109); the cell edges are 7.339, 7.339 and 7.088 Å and the angles 90.00°, 90.00° and 90.00°. The distinct sites, in fractional coordinates, are Al at (0.000, 0.000, 0.000), B at (0.000, 0.000, 0.517), Pd at (0.000, 0.186, 0.290) and Pd at (0.000, 0.200, 0.729).

For the formation energy from the elements, the calculation gives -0.1959 eV per atom. Its total energy is -129.468 eV/cell.